Density functional theory data (PBE+U) for an optimized crystal structure of K2FeAgF6.

Structure (POSCAR):
```
K2FeAgF6
1.0
0.0000 4.3619 4.3619
4.3619 0.0000 4.3619
4.3619 4.3619 0.0000
K Fe Ag F
2 1 1 6
direct
0.2500 0.2500 0.2500
0.7500 0.7500 0.7500
0.0000 0.0000 0.0000
0.5000 0.5000 0.5000
0.2244 0.2244 0.7756
0.2244 0.7756 0.2244
0.2244 0.7756 0.7756
0.7756 0.2244 0.2244
0.7756 0.2244 0.7756
0.7756 0.7756 0.2244
```

Calculated values
Total magnetic moment = 0.50 μB per atom
Space group = Fm-3m
Final energy = -4.558 eV per atom
DOS at the Fermi energy = 0.0000 states/eV per atom